[1]
A relaxed structure of LiTiB. Source: Alexandria via LeMat-Bulk, functional PBE.

Output
Energy of formation = -411.8 meV per atom
Density = 2.5 Mg/m³
Spin magnetization = 0.00 Bohr magnetons per cell
E_tot = -35.44 eV/cell
Excess energy over the best structure of this formula in the dataset = 0.0 meV/atom
Symmetry = P-1

Cell: 3.0156 3.0160 10.9909 Å, 97.41 82.48 119.99°
Positions (direct):
Ti 0.0463 0.9557 0.3563
Ti 0.9537 0.0443 0.6437
Li 0.2101 0.7840 0.8755
Li 0.7899 0.2160 0.1245
B 0.3333 0.6667 0.4999
B 0.6667 0.3333 0.5001



[2]
A relaxed structure of ThAlZnCu. Source: Alexandria via LeMat-Bulk, functional PBE.

Output
Energy of formation = -227.3 meV per atom
Density = 8.3 Mg/m³
Spin magnetization = 0.00 Bohr magnetons per cell
E_tot = -17.44 eV/cell
Symmetry = F-43m

Cell: 4.7886 4.7886 4.7886 Å, 60.00 60.00 60.00°
Positions (direct):
Th 0.0000 0.0000 0.0000
Cu 0.2500 0.2500 0.2500
Al 0.5000 0.5000 0.5000
Zn 0.7500 0.7500 0.7500



[3]
A relaxed structure of AlAs2Os. Source: Alexandria via LeMat-Bulk, functional PBE.

Output
Energy of formation = -11.6 meV per atom
Density = 8.9 Mg/m³
Spin magnetization = 0.00 Bohr magnetons per cell
E_tot = -24.32 eV/cell
Symmetry = P4mm

Cell: 3.0424 3.0434 7.4243 Å, 90.00 90.00 90.00°
Positions (direct):
As 0.5000 0.5000 0.3161
As 0.0000 0.0000 0.9430
Al 0.5000 0.5000 0.7239
Os 0.0000 0.0000 0.5170



[4]
A relaxed structure of Tl2TcOs. Source: Alexandria via LeMat-Bulk, functional PBE.

Output
Energy of formation = 845.8 meV per atom
Density = 14.2 Mg/m³
Spin magnetization = 0.00 Bohr magnetons per cell
E_tot = -22.95 eV/cell
Excess energy over the best structure of this formula in the dataset = 405.4 meV/atom
Symmetry = Imm2

Cell: 6.4413 6.4413 6.4413 Å, 153.57 136.56 51.57°
Positions (direct):
Tl 0.7316 0.2316 0.5000
Tl 0.0294 0.0294 0.0000
Tc 0.2816 0.7816 0.5000
Os 0.4574 0.4574 0.0000